Below is a geometry-optimized KBa2MoO6 structure, with properties calculated at the PBE with a Hubbard U level.

```
20
Lattice="6.150 0.000 0.032 0.000 6.488 0.000 0.099 0.000 8.775" Properties=species:S:1:pos:R:3 pbc="T T T"
O 0.969 1.632 0.570
O 1.527 1.059 4.069
O 5.280 4.856 8.237
O 1.597 4.303 0.335
O 4.722 5.429 4.738
O 5.568 3.563 1.864
O 2.155 4.876 3.834
O 3.706 0.319 2.572
O 2.543 6.169 6.235
O 0.680 2.925 6.943
O 4.652 2.185 8.472
O 4.094 1.612 4.973
Ba 3.241 3.597 6.653
Ba 3.008 2.891 2.154
Ba 0.117 6.135 2.250
Ba 6.132 0.353 6.557
K 3.075 0.000 0.016
K 0.049 3.244 4.387
Mo 3.124 0.000 4.404
Mo 0.000 3.244 0.000
```

Calculated values
* energy: -6.23 eV/atom

Below is a geometry-optimized CdNiF structure, with properties calculated at the PBE with a Hubbard U level.

```
6
Lattice="-2.476 1.728 0.274 0.441 -2.316 1.817 5.769 7.062 7.601" Properties=species:S:1:pos:R:3 pbc="T T T"
F 0.364 2.784 2.508
F 2.791 5.755 5.706
Ni 4.339 5.096 7.076
Ni 0.709 0.653 2.293
Cd -1.387 0.592 0.503
Cd 1.592 4.297 4.070
```

Calculated values
* energy: -2.45 eV/atom

no.,spin magnetization (μB/f.u.)
1,1.07
2,1.05